[1]
{
  "formula": "In15Sn2Hg2",
  "functional": "PBE",
  "state": "relaxed",
  "dos_ef_per_ev_atom": 0.335,
  "e_form_ev_per_fu": 1.3,
  "m_tot_mub_per_fu": 0.00,
  "lattice_angstrom": [[-0.9830, 9.1669, -0.4887], [-5.2476, 4.6122, 6.0355], [3.7218, 5.5900, 6.3354]],
  "species": ["In", "In", "In", "In", "In", "In", "In", "In", "In", "In", "In", "In", "In", "In", "In", "Sn", "Sn", "Hg", "Hg"],
  "frac_coords": [[0.0000, 0.5000, 0.0000], [0.0000, 0.0000, 0.5000], [0.5000, 0.0000, 0.0000], [0.3239, 0.0000, 0.6761], [0.6761, 0.3239, 0.0000], [0.0000, 0.6761, 0.3239], [0.3239, 0.6761, 0.0000], [0.0000, 0.3239, 0.6761], [0.6761, 0.0000, 0.3239], [0.4337, 0.7964, 0.4337], [0.4337, 0.4337, 0.7964], [0.7964, 0.4337, 0.4337], [0.5663, 0.2036, 0.5663], [0.5663, 0.5663, 0.2036], [0.2036, 0.5663, 0.5663], [0.7488, 0.7488, 0.7488], [0.2512, 0.2512, 0.2512], [0.9136, 0.9136, 0.9136], [0.0864, 0.0864, 0.0864]]
}

---

[2]
{
  "formula": "LaPm6Nd2Sm3",
  "functional": "PBE",
  "state": "relaxed",
  "dos_ef_per_ev_atom": 1.585,
  "e_form_ev_per_fu": 0.2,
  "m_tot_mub_per_fu": 0.00,
  "lattice_angstrom": [[-5.8774, 0.9216, -2.2115], [4.5800, -2.0181, -3.9030], [-2.3273, -10.9668, 4.6710]],
  "species": ["La", "Pm", "Pm", "Pm", "Pm", "Pm", "Pm", "Nd", "Nd", "Sm", "Sm", "Sm"],
  "frac_coords": [[0.0000, 0.0000, 0.0000], [0.9157, 0.5819, 0.7478], [0.7505, 0.7505, 0.2525], [0.0843, 0.4181, 0.2522], [0.5819, 0.9157, 0.7478], [0.2495, 0.2495, 0.7475], [0.4181, 0.0843, 0.2522], [0.3335, 0.6665, 0.0000], [0.6665, 0.3335, 0.0000], [0.1669, 0.8331, 0.5000], [0.8331, 0.1669, 0.5000], [0.5000, 0.5000, 0.5000]]
}

---

[3]
{
  "formula": "Y4HgGeTe2",
  "functional": "PBE",
  "state": "relaxed",
  "dos_ef_per_ev_atom": 0.602,
  "m_tot_mub_per_fu": 0.00,
  "formation_energy_uncorrected_ev_per_atom": -1.019,
  "lattice_angstrom": [[-2.2667, 2.4111, -2.6384], [-6.1187, -3.5920, 1.9741], [0.8800, 5.9831, 4.7115]],
  "species": ["Y", "Y", "Y", "Y", "Hg", "Ge", "Te", "Te"],
  "frac_coords": [[0.5000, 0.2566, 0.2398], [0.5000, 0.7434, 0.7602], [0.0000, 0.2688, 0.7730], [0.0000, 0.7312, 0.2270], [0.0000, 0.0000, 0.0000], [0.5000, 0.5000, 0.0000], [0.5000, 0.0000, 0.5000], [0.0000, 0.5000, 0.5000]]
}

---

[4]
{
  "formula": "MgBeTeO6",
  "functional": "PBE",
  "state": "relaxed",
  "dos_ef_per_ev_atom": 0.241,
  "m_tot_mub_per_fu": 2.00,
  "formation_energy_uncorrected_ev_per_atom": -1.346,
  "lattice_angstrom": [[4.9473, 0.0000, 0.0000], [-2.4737, 4.2845, 0.0000], [0.0000, 0.0000, 8.8154]],
  "species": ["Mg", "Mg", "Be", "Be", "Te", "Te", "O", "O", "O", "O", "O", "O", "O", "O", "O", "O", "O", "O"],
  "frac_coords": [[0.0000, 0.0000, 0.0000], [0.0000, 0.0000, 0.5000], [0.6667, 0.3333, 0.2500], [0.3333, 0.6667, 0.7500], [0.3333, 0.6667, 0.2500], [0.6667, 0.3333, 0.7500], [0.6563, 0.6416, 0.1346], [0.9852, 0.3437, 0.1346], [0.3437, 0.9852, 0.6346], [0.0148, 0.6563, 0.8654], [0.3584, 0.3437, 0.3654], [0.9852, 0.6416, 0.3654], [0.6416, 0.9852, 0.8654], [0.6563, 0.0148, 0.3654], [0.0148, 0.3584, 0.6346], [0.3584, 0.0148, 0.1346], [0.6416, 0.6563, 0.6346], [0.3437, 0.3584, 0.8654]]
}

---

Q: Number 3 is which compound?
A: Y4HgGeTe2